Entry 1:
MnVZnO4: relaxed, PBE+U.

The structure in POSCAR format:
```
MnVZnO4
1.0
-3.004 3.026 4.186
3.004 -3.026 4.186
3.004 3.026 -4.186
Mn V Zn O
2 2 2 8
direct
0.500 0.000 0.000 Mn
0.500 0.500 0.500 Mn
0.000 0.000 0.000 V
0.500 0.000 0.500 V
0.126 0.376 0.750 Zn
0.874 0.624 0.250 Zn
0.264 0.245 0.481 O
0.264 0.783 0.019 O
0.267 0.242 0.026 O
0.284 0.758 0.526 O
0.716 0.242 0.474 O
0.733 0.758 0.974 O
0.736 0.217 0.981 O
0.736 0.755 0.519 O
```

Magnetization in μB/cell: 7.93
Volume in A^3/atom: 10.9
Space group: Imma


Entry 2:
ZrMn2VO6: relaxed, PBE+U.

The structure in POSCAR format:
```
ZrMn2VO6
1.0
5.343 0.000 0.000
2.650 4.662 0.000
2.628 1.580 4.734
Zr Mn V O
1 2 1 6
direct
0.000 0.000 0.000 Zr
0.214 0.217 0.346 Mn
0.713 0.728 0.839 Mn
0.501 0.511 0.489 V
0.135 0.783 0.690 O
0.286 0.628 0.211 O
0.373 0.154 0.695 O
0.618 0.881 0.202 O
0.748 0.402 0.689 O
0.864 0.294 0.206 O
```

Magnetization in μB/cell: 11.00
Volume in A^3/atom: 11.8
Space group: P1


Number 1: VASP energy -6.739 eV/atom. Number 2: VASP energy -8.301 eV/atom.